Entry 1:
{"formula": "K3ClF6", "functional": "PBE", "state": "relaxed", "lattice": [[5.390, -6.565, 0.000], [5.390, 6.565, 0.000], [0.000, 0.000, 6.090]], "species": ["K", "K", "K", "K", "K", "K", "Cl", "Cl", "F", "F", "F", "F", "F", "F", "F", "F", "F", "F", "F", "F"], "fractional_positions": [[0.096, 0.904, 0.500], [0.159, 0.400, 0.442], [0.400, 0.159, 0.942], [0.600, 0.841, 0.442], [0.841, 0.600, 0.942], [0.904, 0.096, 0.000], [0.353, 0.647, 0.910], [0.647, 0.353, 0.410], [0.110, 0.617, 0.728], [0.148, 0.178, 0.724], [0.178, 0.148, 0.224], [0.281, 0.719, 0.158], [0.383, 0.890, 0.728], [0.436, 0.564, 0.673], [0.564, 0.436, 0.173], [0.617, 0.110, 0.228], [0.719, 0.281, 0.658], [0.822, 0.852, 0.724], [0.852, 0.822, 0.224], [0.890, 0.383, 0.228]], "total_magnetization_mub_per_fu": 2.00, "volume_a3_per_cell": 430.99, "e_form_raw_ev_per_atom": -1.788, "de_polymorph_mev_per_atom": 164}


Entry 2:
{"formula": "KTiPdS3", "functional": "PBE", "state": "relaxed", "lattice": [[8.221, 0.000, 0.000], [0.000, 3.612, 0.000], [-3.354, 0.000, 8.740]], "species": ["K", "K", "Ti", "Ti", "Pd", "Pd", "S", "S", "S", "S", "S", "S"], "fractional_positions": [[0.226, 0.250, 0.253], [0.774, 0.750, 0.747], [0.319, 0.750, 0.840], [0.681, 0.250, 0.160], [0.113, 0.250, 0.596], [0.887, 0.750, 0.404], [0.127, 0.250, 0.862], [0.279, 0.750, 0.570], [0.458, 0.750, 0.127], [0.542, 0.250, 0.873], [0.721, 0.250, 0.430], [0.873, 0.750, 0.138]], "total_magnetization_mub_per_fu": 0.00, "volume_a3_per_cell": 259.49, "e_form_raw_ev_per_atom": -1.045}


Entry 3:
{"formula": "CrOs2Au", "functional": "PBE", "state": "relaxed", "lattice": [[-1.935, 1.935, 3.860], [1.935, -1.935, 3.860], [1.935, 1.935, -3.860]], "species": ["Cr", "Os", "Os", "Au"], "fractional_positions": [[0.000, 0.000, 0.000], [0.250, 0.750, 0.500], [0.750, 0.250, 0.500], [0.500, 0.500, 0.000]], "total_magnetization_mub_per_fu": 0.08, "volume_a3_per_cell": 57.79, "de_polymorph_mev_per_atom": 210}